VASP calculation (PBEsol) on a geometry-optimized InIrRh structure.

Calculated values
For the formation enthalpy at 0 K, the calculation gives 0.62 eV per atom. The value obtained for the raw total energy is -19.09 eV/cell. For the density, the calculation gives 12.42 g/cm³. Its offset from the most stable computed form is 554 meV/atom. For the density of states at the Fermi level, the calculation gives 4.98 states/eV/cell.

Cell lengths 4.2639, 4.2639, 4.2639 Å; angles 60.00, 60.00, 60.00 degrees
With the nearest neighbours (Å) after each atom.
Positions (direct):
In1 0.0000 0.0000 0.0000  4 Ir 2.61, 4 Rh 2.61
Ir1 0.7500 0.7500 0.7500  4 In 2.61
Rh1 0.2500 0.2500 0.2500  4 In 2.61